(1)
VASP calculation (PBE) on a relaxed structure of Er3IrBr3.

Geometry as POSCAR:
```
Er3IrBr3
1.0
-2.848 -2.309 1.870
4.291 -7.023 -2.139
5.954 0.852 10.123
Br Er Ir
6 6 2
Direct
0.750 0.565 0.630
0.250 0.333 0.854
0.750 0.131 0.100
0.750 0.667 0.146
0.250 0.869 0.900
0.250 0.435 0.370
0.250 0.261 0.597
0.750 0.152 0.361
0.250 0.848 0.639
0.750 0.097 0.823
0.250 0.903 0.177
0.750 0.739 0.403
0.250 0.950 0.405
0.750 0.050 0.595
```

Its symmetry is P2_1/m. As for the total energy: -74.681 eV/cell. The formation energy from raw total energies is -1.40 eV/atom. Its total magnetic moment is 0.00 μB/atom.

***

(2)
VASP calculation (PBE) on a relaxed structure of Er4IrBr5.

Geometry as POSCAR:
```
Er4IrBr5
1.0
-2.688 -2.702 1.076
-1.949 -1.303 -8.142
8.262 -4.979 0.847
Br Er Ir
5 4 1
Direct
0.830 0.674 0.661
0.818 0.154 0.636
0.182 0.846 0.364
0.500 0.500 0.000
0.170 0.326 0.339
0.995 0.786 0.991
0.353 0.928 0.707
0.647 0.072 0.293
0.005 0.214 0.009
0.500 0.000 0.000
```

Its symmetry is C2/m. As for the total energy: -50.032 eV/cell. The formation energy from raw total energies is -1.46 eV/atom. Its total magnetic moment is 0.00 μB/atom.

***

Question: Among the records above, which one has the highest formation energy from raw total energies?
Answer: Er3IrBr3